Material: Pa4Al12Os
Method: DFT, PBE
State: optimized geometry

Properties
As for the formation energy: -5.94 eV/f.u. For the density of states at the Fermi level, the calculation gives 10.791 states/eV per cell.

Geometry as POSCAR:
```
Pa4Al12Os
1.0
7.063 0.000 -2.497
-3.532 6.117 -2.497
0.000 0.000 7.492
Al Pa Os
12 4 1
direct
0.750 0.250 0.500
0.709 0.000 0.709
0.250 0.500 0.750
0.709 0.709 0.000
0.000 0.709 0.709
0.291 0.291 0.000
0.500 0.250 0.750
0.291 0.000 0.291
0.000 0.291 0.291
0.250 0.750 0.500
0.750 0.500 0.250
0.500 0.750 0.250
0.000 0.500 0.000
0.500 0.500 0.500
0.500 0.000 0.000
0.000 0.000 0.500
0.000 0.000 0.000
```

***

Material: PmSiF6
Method: DFT, PBE
State: optimized geometry

Properties
The uncorrected formation energy is -3.17 eV per atom. For the density of states at the Fermi level, the calculation gives 0.653 states/eV per cell.

Geometry as POSCAR:
```
PmSiF6
1.0
5.001 -0.295 -0.007
-2.135 4.532 -0.007
-0.540 -0.798 5.427
Pm F Si
1 6 1
direct
0.000 0.000 0.000
0.723 0.723 0.294
0.823 0.551 0.678
0.449 0.177 0.322
0.177 0.449 0.322
0.551 0.823 0.678
0.277 0.277 0.706
0.500 0.500 0.500
```

***

Material: NpB4Ru4
Method: DFT, PBE
State: optimized geometry

Properties
As for the formation energy: -2.88 eV/f.u. For the density of states at the Fermi level, the calculation gives 23.071 states/eV per cell.

Geometry as POSCAR:
```
NpB4Ru4
1.0
5.380 0.000 0.000
0.000 5.380 0.000
0.000 0.000 7.321
Ru B Np
8 8 2
direct
0.000 0.755 0.358
0.245 0.000 0.642
0.000 0.245 0.358
0.755 0.000 0.642
0.255 0.500 0.858
0.745 0.500 0.858
0.500 0.745 0.142
0.500 0.255 0.142
0.669 0.000 0.350
0.331 0.000 0.350
0.000 0.669 0.650
0.500 0.831 0.850
0.000 0.331 0.650
0.831 0.500 0.150
0.169 0.500 0.150
0.500 0.169 0.850
0.000 0.000 0.000
0.500 0.500 0.500
```

***

Material: TlRu2Se
Method: DFT, PBE
State: optimized geometry

Properties
The uncorrected formation energy is 0.38 eV per atom. For the density of states at the Fermi level, the calculation gives 2.762 states/eV per cell.

Geometry as POSCAR:
```
TlRu2Se
1.0
-0.765 3.073 -2.964
-3.347 2.328 -1.481
0.451 4.863 3.229
Ru Se Tl
2 1 1
direct
0.498 0.498 0.560
0.002 0.002 0.940
0.750 0.750 0.750
0.250 0.250 0.250
```

***

Material: ZrTc2Br
Method: DFT, PBE
State: optimized geometry

Properties
The uncorrected formation energy is 0.37 eV per atom. For the density of states at the Fermi level, the calculation gives 3.849 states/eV per cell.

Geometry as POSCAR:
```
ZrTc2Br
1.0
4.971 0.000 0.000
0.000 3.053 -0.022
0.000 -0.054 4.684
Zr Tc Br
1 2 1
direct
0.500 0.250 0.250
0.000 0.582 0.490
0.000 0.918 0.010
0.500 0.750 0.750
```

***

Material: NaCaRe2Sn
Method: DFT, PBE
State: optimized geometry

Properties
As for the formation energy: 10.26 eV/f.u. For the density of states at the Fermi level, the calculation gives 3.837 states/eV per cell.

Geometry as POSCAR:
```
NaCaRe2Sn
1.0
4.852 0.000 0.000
0.000 5.018 0.000
0.000 0.000 4.852
Ca Sn Re Na
1 1 2 1
direct
0.500 0.500 0.500
0.000 0.500 0.000
0.000 0.000 0.500
0.500 0.000 0.000
0.000 0.000 0.000
```